Below is crystalline CeNi5B2 at its relaxed geometry, with properties calculated at the PBE level.

```
CeNi5B2
1.0
3.4714 0.0000 0.0000
1.7357 5.2650 0.0218
1.7357 1.6048 5.0145
Ce Ni B
1 5 2
Cartesian
0.0000 0.0000 0.0000
1.7357 3.4349 2.5182
3.4714 3.0471 0.7603
3.4714 3.8227 4.2761
3.4714 5.2281 2.3591
3.4714 1.6418 2.6772
5.2071 5.0576 3.7077
1.7357 1.8123 1.3286
```

Output
Formation enthalpy at 0 K (meV/atom): -402
Electronic total energy (eV per atom): -6.43
Density of states at the Fermi level (states/eV/cell): 5.27